[1]
Ba6Tc3O14, relaxed, DFT GGA-PBE; final energy = -7.027 eV/atom; mass density = 5.1 g cm⁻³; magnetization = 0.217 μB per atom; E_form (uncorrected) = -2.155 eV per atom; N(E_F) = 0.6190 states/eV per atom; crystal system = trigonal
1.0
9.5013 0.0000 0.0000
-4.7507 8.2284 0.0000
0.0000 0.0000 5.6179
Ba Tc O
6 3 14
Cartesian
-2.0195 3.6608 0.0000
1.7548 1.8235 2.6771
-0.5706 8.1469 0.0000
2.5900 4.6491 0.0000
7.0447 0.6080 2.6771
5.4525 5.7969 2.6771
0.0000 0.0000 0.1642
0.0000 5.4856 3.2029
4.7507 2.7428 3.6854
0.0000 0.0000 3.9454
-0.4619 1.6115 0.9576
-3.1241 7.8226 0.9576
-1.5903 6.0320 3.9511
0.3220 3.8352 3.9511
0.0000 5.4856 1.3816
3.2036 2.2064 4.8303
4.3984 1.1357 2.6002
1.2683 6.5896 3.9511
3.5350 3.8514 2.6002
5.9888 1.6712 4.8303
5.0597 4.3508 4.8303
3.5860 7.0227 0.9576
6.3186 3.2412 2.6002

***

[2]
DyMnAgCl6, relaxed, DFT GGA-PBE; final energy = -4.538 eV/atom; mass density = 3.8 g cm⁻³; magnetization = 0.556 μB per atom; E_form (uncorrected) = -1.460 eV per atom; N(E_F) = 0.0000 states/eV per atom; crystal system = trigonal
1.0
6.6275 0.0000 0.0000
-3.3138 5.7396 0.0000
0.0000 0.0000 12.2497
Dy Mn Ag Cl
2 2 2 12
Cartesian
0.0000 3.8264 3.0624
3.3138 1.9132 9.1873
0.0000 3.8264 9.1873
3.3138 1.9132 3.0624
0.0000 0.0000 0.0000
0.0000 0.0000 6.1248
-1.1011 2.0492 7.7295
-2.0897 3.7614 10.6451
1.1011 2.0492 10.6451
-0.9886 5.6686 7.7295
2.3252 0.0710 1.6046
1.2241 1.9782 4.5202
2.0897 3.7614 7.7295
0.9886 5.6686 10.6451
4.3024 0.0710 4.5202
2.2127 3.6905 1.6046
5.4035 1.9782 1.6046
4.4149 3.6905 4.5202

***

[3]
Ir2SeCl, relaxed, DFT GGA-PBE; final energy = -5.299 eV/atom; mass density = 11.4 g cm⁻³; magnetization = 0.000 μB per atom; E_form (uncorrected) = 0.464 eV per atom; N(E_F) = 1.0447 states/eV per atom; crystal system = orthorhombic
1.0
2.7953 0.0000 0.0000
0.0000 5.2127 0.0000
0.0000 0.0000 10.0035
Ir Se Cl
4 2 2
Cartesian
0.0000 0.0000 0.0000
0.0000 2.6064 2.2561
1.3976 0.0000 2.2561
1.3976 2.6064 0.0000
0.0000 0.0000 4.4400
1.3976 2.6064 4.4400
0.0000 2.6064 7.9977
1.3976 0.0000 7.9977

***

[4]
DyPdO3, relaxed, DFT GGA-PBE; final energy = -6.832 eV/atom; mass density = 8.3 g cm⁻³; magnetization = 0.000 μB per atom; E_form (uncorrected) = -1.898 eV per atom; N(E_F) = 0.3178 states/eV per atom; crystal system = monoclinic
1.0
5.0267 -2.9022 0.0000
5.0267 2.9022 0.0000
-3.2865 0.0000 8.6471
Dy Pd O
4 4 12
Cartesian
0.6974 1.9632 7.4775
4.4263 1.9632 5.4932
2.3407 -1.9632 3.1539
6.0695 -1.9632 1.1696
0.8701 1.4511 4.3235
4.2051 1.1693 2.1618
2.5134 -1.4511 0.0000
2.5619 -1.1693 6.4853
-1.1609 0.4141 7.4663
2.9094 1.6196 3.8466
0.4823 -0.4141 3.1427
5.5007 1.6196 0.4769
1.2270 0.3390 5.9722
2.8702 -0.3390 1.6486
3.8967 0.3390 6.9985
5.5399 -0.3390 2.6749
1.2662 -1.6196 8.1702
6.2846 0.4141 5.5043
3.8575 -1.6196 4.8005
7.9279 -0.4141 1.1808

***

[5]
SiAgSb2, relaxed, DFT GGA-PBE; final energy = -3.766 eV/atom; mass density = 7.0 g cm⁻³; magnetization = 0.000 μB per atom; E_form (uncorrected) = 0.363 eV per atom; N(E_F) = 0.3824 states/eV per atom; crystal system = monoclinic
1.0
7.7977 0.0000 0.0000
0.0000 7.7311 0.0000
-0.4155 0.0000 3.0068
Si Ag Sb
2 2 4
Cartesian
0.0000 0.0000 0.0000
3.8988 3.8655 0.0000
0.0000 3.8655 0.0000
3.8988 0.0000 0.0000
1.7417 1.9328 1.5034
1.7417 5.7983 1.5034
5.6405 1.9328 1.5034
5.6405 5.7983 1.5034

***

[6]
TiSnOs2, relaxed, DFT GGA-PBE; final energy = -8.609 eV/atom; mass density = 14.1 g cm⁻³; magnetization = 0.000 μB per atom; N(E_F) = 1.0746 states/eV per atom; crystal system = monoclinic
1.0
4.8615 0.0000 0.0000
0.0000 4.6352 0.0000
-0.2588 0.0000 5.7361
Ti Sn Os
2 2 4
Cartesian
0.0000 0.0000 0.0000
1.3696 2.3176 2.6472
3.5860 2.3176 4.3670
4.5970 0.0000 2.7625
1.1593 2.3176 5.6987
2.0419 0.0000 4.2349
2.2702 0.0000 1.2955
3.8644 2.3176 1.4116